Entry 1:
A plane-wave DFT calculation with PBE was carried out for a relaxed Li2DyHoTl4 crystal.

The structure in POSCAR format:
```
Li2DyHoTl4
1.0
5.1839 0.0000 0.0000
2.5920 4.4894 0.0000
2.5920 1.4965 8.4315
Tl Li Dy Ho
4 2 1 1
Direct
0.1253 0.1253 0.6242 Tl
0.6248 0.6248 0.1255 Tl
0.8747 0.8747 0.3758 Tl
0.3752 0.3752 0.8745 Tl
0.2500 0.2500 0.2500 Li
0.7500 0.7500 0.7500 Li
0.0000 0.0000 0.0000 Dy
0.5000 0.5000 0.5000 Ho
```

Values from the calculation:
formation enthalpy at 0 K = -242 kJ/mol of formula units
space-group type = R-3m, No. 166
electronic total energy = -3.12 eV per atom
spin magnetization = 0.000 μB per formula unit

Entry 2:
A plane-wave DFT calculation with PBE was carried out for a relaxed LiDyHo2Tl4 crystal.

The structure in POSCAR format:
```
LiDyHo2Tl4
1.0
-1.6366 3.5626 -3.4500
-4.0474 -1.0587 -3.1259
-7.4055 4.1316 3.8268
Tl Ho Dy Li
4 2 1 1
Direct
0.6227 0.6227 0.1318 Tl
0.3773 0.3773 0.8682 Tl
0.1274 0.1274 0.6178 Tl
0.8726 0.8726 0.3822 Tl
0.2458 0.2458 0.2627 Ho
0.7542 0.7542 0.7373 Ho
0.0000 0.0000 0.0000 Dy
0.5000 0.5000 0.5000 Li
```

Values from the calculation:
formation enthalpy at 0 K = -246 kJ/mol of formula units
space-group type = R-3m, No. 166
electronic total energy = -3.46 eV per atom
spin magnetization = 0.000 μB per formula unit

Entry 3:
A plane-wave DFT calculation with PBE was carried out for a relaxed LiDyHoTl crystal.

The structure in POSCAR format:
```
LiDyHoTl
1.0
5.2708 0.0000 0.0000
2.6354 4.5646 0.0000
2.6354 1.5215 4.3036
Dy Ho Li Tl
1 1 1 1
Direct
0.2500 0.2500 0.2500 Dy
0.7500 0.7500 0.7500 Ho
0.5000 0.5000 0.5000 Li
0.0000 0.0000 0.0000 Tl
```

Values from the calculation:
formation enthalpy at 0 K = -73 kJ/mol of formula units
space-group type = F-43m, No. 216
electronic total energy = -3.56 eV per atom
spin magnetization = 0.000 μB per formula unit

Entry 4:
A plane-wave DFT calculation with PBE was carried out for a relaxed LiDyYHo crystal.

The structure in POSCAR format:
```
LiDyYHo
1.0
-4.7871 -1.5807 2.1219
-0.4293 -4.8698 2.4533
-0.6261 -0.2829 5.4264
Ho Y Li Dy
1 1 1 1
Direct
0.5000 0.5000 0.5000 Ho
0.7500 0.7500 0.7500 Y
0.0000 0.0000 0.0000 Li
0.2500 0.2500 0.2500 Dy
```

Values from the calculation:
formation enthalpy at 0 K = 68 kJ/mol of formula units
space-group type = F-43m, No. 216
electronic total energy = -4.21 eV per atom
spin magnetization = 0.000 μB per formula unit

Entry 5:
A plane-wave DFT calculation with PBE was carried out for a relaxed DyHoLu4 crystal.

The structure in POSCAR format:
```
DyHoLu4
1.0
6.4515 0.0000 0.0000
3.2258 5.5872 0.0000
3.2258 1.8624 5.2677
Lu Dy Ho
4 1 1
Direct
0.6251 0.6251 0.1248 Lu
0.6251 0.6251 0.6251 Lu
0.1248 0.6251 0.6251 Lu
0.6251 0.1248 0.6251 Lu
0.2500 0.2500 0.2500 Dy
0.0000 0.0000 0.0000 Ho
```

Values from the calculation:
formation enthalpy at 0 K = 164 kJ/mol of formula units
space-group type = F-43m, No. 216
electronic total energy = -4.26 eV per atom
spin magnetization = 1.302 μB per formula unit

Entry 6:
A plane-wave DFT calculation with PBE was carried out for a relaxed DyHoLu crystal.

The structure in POSCAR format:
```
DyHoLu
1.0
3.4287 0.0000 0.0000
0.0000 5.5328 0.0000
0.0000 -2.7664 4.7915
Lu Dy Ho
1 1 1
Direct
0.1656 0.0000 0.0000 Lu
0.1677 0.3333 0.6667 Dy
0.6667 0.6667 0.3333 Ho
```

Values from the calculation:
formation enthalpy at 0 K = 24 kJ/mol of formula units
space-group type = P3m1, No. 156
electronic total energy = -4.49 eV per atom
spin magnetization = 0.008 μB per formula unit
ΔE to the lowest computed polymorph = 55 meV/atom

Entry 7:
A plane-wave DFT calculation with PBE was carried out for a relaxed DyHoLu2 crystal.

The structure in POSCAR format:
```
DyHoLu2
1.0
4.9147 0.0000 0.0000
0.0000 4.9411 0.0000
0.0000 0.0000 4.9411
Ho Lu Dy
1 2 1
Direct
0.5000 0.5000 0.5000 Ho
0.0000 0.5000 0.0000 Lu
0.0000 0.0000 0.5000 Lu
0.5000 0.0000 0.0000 Dy
```

Values from the calculation:
formation enthalpy at 0 K = 13 kJ/mol of formula units
space-group type = P4/mmm, No. 123
electronic total energy = -4.52 eV per atom
spin magnetization = 0.043 μB per formula unit
ΔE to the lowest computed polymorph = 4 meV/atom

Entry 8:
A plane-wave DFT calculation with PBE was carried out for a relaxed DyHo4Lu crystal.

The structure in POSCAR format:
```
DyHo4Lu
1.0
-4.3341 -2.8870 3.8653
1.1846 -0.5585 6.3517
-3.4018 3.5191 4.2548
Ho Dy Lu
4 1 1
Direct
0.6250 0.6250 0.1251 Ho
0.6250 0.1251 0.6250 Ho
0.1251 0.6250 0.6250 Ho
0.6250 0.6250 0.6250 Ho
0.2500 0.2500 0.2500 Dy
0.0000 0.0000 0.0000 Lu
```

Values from the calculation:
formation enthalpy at 0 K = 152 kJ/mol of formula units
space-group type = F-43m, No. 216
electronic total energy = -4.31 eV per atom
spin magnetization = 0.000 μB per formula unit

Entry 9:
A plane-wave DFT calculation with PBE was carried out for a relaxed DyHoLu crystal.

The structure in POSCAR format:
```
DyHoLu
1.0
3.4961 0.0000 0.0000
0.0000 3.4961 0.0000
-1.7480 -1.7480 7.4501
Lu Dy Ho
1 1 1
Direct
0.6664 0.6664 0.3329 Lu
0.3326 0.3326 0.6653 Dy
0.0009 0.0009 0.0018 Ho
```

Values from the calculation:
formation enthalpy at 0 K = 8 kJ/mol of formula units
space-group type = I4mm, No. 107
electronic total energy = -4.54 eV per atom
spin magnetization = 0.000 μB per formula unit
ΔE to the lowest computed polymorph = 0 meV/atom

Entry 10:
A plane-wave DFT calculation with PBE was carried out for a relaxed DyHoLu2 crystal.

The structure in POSCAR format:
```
DyHoLu2
1.0
3.4927 0.0000 0.0000
1.7463 3.0248 0.0000
1.7463 1.0083 11.3415
Dy Lu Ho
1 2 1
Direct
0.5000 0.5000 0.5000 Dy
0.7499 0.7499 0.7504 Lu
0.2501 0.2501 0.2496 Lu
0.0000 0.0000 0.0000 Ho
```

Values from the calculation:
formation enthalpy at 0 K = 12 kJ/mol of formula units
space-group type = R-3m, No. 166
electronic total energy = -4.53 eV per atom
spin magnetization = 0.000 μB per formula unit
ΔE to the lowest computed polymorph = 1 meV/atom

Entry 11:
A plane-wave DFT calculation with PBE was carried out for a relaxed DyHoLu2 crystal.

The structure in POSCAR format:
```
DyHoLu2
1.0
5.5680 0.0000 0.0000
2.7840 4.8221 0.0000
2.7840 1.6074 4.5463
Ho Lu Dy
1 2 1
Direct
0.0000 0.0000 0.0000 Ho
0.7500 0.7500 0.7500 Lu
0.2500 0.2500 0.2500 Lu
0.5000 0.5000 0.5000 Dy
```

Values from the calculation:
formation enthalpy at 0 K = 47 kJ/mol of formula units
space-group type = Fm-3m, No. 225
electronic total energy = -4.43 eV per atom
spin magnetization = 0.000 μB per formula unit
ΔE to the lowest computed polymorph = 92 meV/atom

Entry 12:
A plane-wave DFT calculation with PBE was carried out for a relaxed DyHoLu2 crystal.

The structure in POSCAR format:
```
DyHoLu2
1.0
-2.0644 1.0264 -2.6219
-2.8137 -0.6305 1.9686
0.2971 9.2505 3.3875
Ho Dy Lu
1 1 2
Direct
0.5000 0.5000 0.5000 Ho
0.5000 0.5000 0.0000 Dy
0.0000 0.0000 0.7495 Lu
0.0000 0.0000 0.2505 Lu
```

Values from the calculation:
formation enthalpy at 0 K = 11 kJ/mol of formula units
space-group type = P4/mmm, No. 123
electronic total energy = -4.53 eV per atom
spin magnetization = 0.000 μB per formula unit
ΔE to the lowest computed polymorph = 0 meV/atom

Entry 13:
A plane-wave DFT calculation with PBE was carried out for a relaxed DyHoLuMn crystal.

The structure in POSCAR format:
```
DyHoLuMn
1.0
5.2929 0.0000 0.0000
2.6465 4.5838 0.0000
2.6465 1.5279 4.3216
Dy Lu Mn Ho
1 1 1 1
Direct
0.7500 0.7500 0.7500 Dy
0.5000 0.5000 0.5000 Lu
0.0000 0.0000 0.0000 Mn
0.2500 0.2500 0.2500 Ho
```

Values from the calculation:
formation enthalpy at 0 K = 103 kJ/mol of formula units
space-group type = F-43m, No. 216
electronic total energy = -5.45 eV per atom
spin magnetization = 3.327 μB per formula unit